The following is a DFT calculation (GGA-PBE) of crystalline LiNdHoRh at its relaxed geometry.

Cell and atoms, written as CIF:
```
data_LiNdHoRh
_chemical_formula_sum 'Li1 Nd1 Ho1 Rh1'
_cell_length_a 5.008
_cell_length_b 5.008
_cell_length_c 5.008
_cell_angle_alpha 60.00
_cell_angle_beta 60.00
_cell_angle_gamma 60.00
_space_group_name_H-M_alt 'P 1'
_space_group_IT_number 1
loop_
_space_group_symop_operation_xyz
'x,y,z'
loop_
_atom_site_label
_atom_site_type_symbol
_atom_site_fract_x
_atom_site_fract_y
_atom_site_fract_z
Rh1 Rh 0.500 0.500 0.500
Nd1 Nd 0.750 0.750 0.750
Ho1 Ho 0.250 0.250 0.250
Li1 Li 0.000 0.000 0.000
```

***

The following is a DFT calculation (GGA-PBE) of crystalline LiNdHoRu at its relaxed geometry.

Cell and atoms, written as CIF:
```
data_LiNdHoRu
_chemical_formula_sum 'Li1 Nd1 Ho1 Ru1'
_cell_length_a 4.981
_cell_length_b 4.981
_cell_length_c 4.981
_cell_angle_alpha 60.00
_cell_angle_beta 60.00
_cell_angle_gamma 60.00
_space_group_name_H-M_alt 'P 1'
_space_group_IT_number 1
loop_
_space_group_symop_operation_xyz
'x,y,z'
loop_
_atom_site_label
_atom_site_type_symbol
_atom_site_fract_x
_atom_site_fract_y
_atom_site_fract_z
Ru1 Ru 0.250 0.250 0.250
Nd1 Nd 0.000 0.000 0.000
Ho1 Ho 0.500 0.500 0.500
Li1 Li 0.750 0.750 0.750
```

***

The following is a DFT calculation (GGA-PBE) of crystalline LiNdHo4S8 at its relaxed geometry.

Cell and atoms, written as CIF:
```
data_LiNdHo4S8
_chemical_formula_sum 'Li1 Nd1 Ho4 S8'
_cell_length_a 7.991
_cell_length_b 7.991
_cell_length_c 8.088
_cell_angle_alpha 60.40
_cell_angle_beta 60.40
_cell_angle_gamma 60.00
_space_group_name_H-M_alt 'P 1'
_space_group_IT_number 1
loop_
_space_group_symop_operation_xyz
'x,y,z'
loop_
_atom_site_label
_atom_site_type_symbol
_atom_site_fract_x
_atom_site_fract_y
_atom_site_fract_z
Li1 Li 0.376 0.376 0.873
Nd1 Nd 0.004 0.004 0.989
Ho1 Ho 0.626 0.626 0.121
Ho2 Ho 0.005 0.486 0.505
Ho3 Ho 0.486 0.005 0.505
Ho4 Ho 0.005 0.005 0.505
S1 S 0.249 0.768 0.734
S2 S 0.768 0.249 0.734
S3 S 0.249 0.249 0.734
S4 S 0.242 0.242 0.273
S5 S 0.752 0.228 0.267
S6 S 0.228 0.752 0.267
S7 S 0.752 0.752 0.267
S8 S 0.759 0.759 0.724
```

***

The following is a DFT calculation (GGA-PBE) of crystalline LiNdHo2S4 at its relaxed geometry.

Cell and atoms, written as CIF:
```
data_LiNdHo2S4
_chemical_formula_sum 'Li1 Nd1 Ho2 S4'
_cell_length_a 3.912
_cell_length_b 6.801
_cell_length_c 6.821
_cell_angle_alpha 109.25
_cell_angle_beta 90.00
_cell_angle_gamma 90.00
_space_group_name_H-M_alt 'P 1'
_space_group_IT_number 1
loop_
_space_group_symop_operation_xyz
'x,y,z'
loop_
_atom_site_label
_atom_site_type_symbol
_atom_site_fract_x
_atom_site_fract_y
_atom_site_fract_z
Li1 Li 0.500 0.500 0.000
Nd1 Nd 0.000 0.000 0.000
Ho1 Ho 0.500 0.000 0.500
Ho2 Ho 0.000 0.500 0.500
S1 S 0.500 0.262 0.258
S2 S 0.500 0.738 0.742
S3 S 0.000 0.255 0.745
S4 S 0.000 0.745 0.255
```

***

The following is a DFT calculation (GGA-PBE) of crystalline LiNd2HoS5 at its relaxed geometry.

Cell and atoms, written as CIF:
```
data_LiNd2HoS5
_chemical_formula_sum 'Li2 Nd4 Ho2 S10'
_cell_length_a 3.980
_cell_length_b 8.482
_cell_length_c 11.908
_cell_angle_alpha 90.00
_cell_angle_beta 90.00
_cell_angle_gamma 103.57
_space_group_name_H-M_alt 'P 1'
_space_group_IT_number 1
loop_
_space_group_symop_operation_xyz
'x,y,z'
loop_
_atom_site_label
_atom_site_type_symbol
_atom_site_fract_x
_atom_site_fract_y
_atom_site_fract_z
Li1 Li 0.514 0.029 0.982
Li2 Li 0.486 0.971 0.482
Nd1 Nd 0.875 0.751 0.797
Nd2 Nd 0.108 0.216 0.685
Nd3 Nd 0.125 0.249 0.297
Nd4 Nd 0.892 0.784 0.185
Ho1 Ho 0.802 0.605 0.502
Ho2 Ho 0.198 0.395 0.002
S1 S 0.362 0.725 0.999
S2 S 0.692 0.385 0.845
S3 S 0.500 0.001 0.784
S4 S 0.287 0.573 0.660
S5 S 0.953 0.905 0.570
S6 S 0.638 0.275 0.499
S7 S 0.308 0.615 0.345
S8 S 0.500 0.999 0.284
S9 S 0.713 0.427 0.160
S10 S 0.047 0.095 0.070
```

***

The following is a DFT calculation (GGA-PBE) of crystalline Li3NdHo2S6 at its relaxed geometry.

Cell and atoms, written as CIF:
```
data_Li3NdHo2S6
_chemical_formula_sum 'Li3 Nd1 Ho2 S6'
_cell_length_a 6.846
_cell_length_b 6.846
_cell_length_c 6.591
_cell_angle_alpha 99.91
_cell_angle_beta 99.91
_cell_angle_gamma 120.04
_space_group_name_H-M_alt 'P 1'
_space_group_IT_number 1
loop_
_space_group_symop_operation_xyz
'x,y,z'
loop_
_atom_site_label
_atom_site_type_symbol
_atom_site_fract_x
_atom_site_fract_y
_atom_site_fract_z
Li1 Li 0.171 0.829 0.500
Li2 Li 0.829 0.171 0.500
Li3 Li 0.500 0.500 0.500
Nd1 Nd 0.000 0.000 0.000
Ho1 Ho 0.334 0.666 0.000
Ho2 Ho 0.666 0.334 0.000
S1 S 0.917 0.573 0.749
S2 S 0.741 0.741 0.253
S3 S 0.083 0.427 0.251
S4 S 0.573 0.917 0.749
S5 S 0.259 0.259 0.747
S6 S 0.427 0.083 0.251
```

***

The following is a DFT calculation (GGA-PBE) of crystalline LiNd3Ho2S6 at its relaxed geometry.

Cell and atoms, written as CIF:
```
data_LiNd3Ho2S6
_chemical_formula_sum 'Li1 Nd3 Ho2 S6'
_cell_length_a 6.835
_cell_length_b 6.835
_cell_length_c 6.929
_cell_angle_alpha 99.48
_cell_angle_beta 99.48
_cell_angle_gamma 120.16
_space_group_name_H-M_alt 'P 1'
_space_group_IT_number 1
loop_
_space_group_symop_operation_xyz
'x,y,z'
loop_
_atom_site_label
_atom_site_type_symbol
_atom_site_fract_x
_atom_site_fract_y
_atom_site_fract_z
Li1 Li 0.000 0.000 0.000
Nd1 Nd 0.165 0.835 0.500
Nd2 Nd 0.835 0.165 0.500
Nd3 Nd 0.500 0.500 0.500
Ho1 Ho 0.334 0.666 0.000
Ho2 Ho 0.666 0.334 0.000
S1 S 0.923 0.594 0.768
S2 S 0.749 0.749 0.229
S3 S 0.077 0.406 0.232
S4 S 0.594 0.923 0.768
S5 S 0.251 0.251 0.771
S6 S 0.406 0.077 0.232
```

***

The following is a DFT calculation (GGA-PBE) of crystalline LiNdHoS3 at its relaxed geometry.

Cell and atoms, written as CIF:
```
data_LiNdHoS3
_chemical_formula_sum 'Li2 Nd2 Ho2 S6'
_cell_length_a 3.859
_cell_length_b 8.113
_cell_length_c 8.442
_cell_angle_alpha 102.75
_cell_angle_beta 90.00
_cell_angle_gamma 90.00
_space_group_name_H-M_alt 'P 1'
_space_group_IT_number 1
loop_
_space_group_symop_operation_xyz
'x,y,z'
loop_
_atom_site_label
_atom_site_type_symbol
_atom_site_fract_x
_atom_site_fract_y
_atom_site_fract_z
Li1 Li 0.250 0.087 0.585
Li2 Li 0.750 0.913 0.415
Nd1 Nd 0.250 0.189 0.223
Nd2 Nd 0.750 0.811 0.777
Ho1 Ho 0.250 0.664 0.165
Ho2 Ho 0.750 0.336 0.835
S1 S 0.750 0.901 0.133
S2 S 0.250 0.099 0.867
S3 S 0.250 0.785 0.500
S4 S 0.750 0.215 0.500
S5 S 0.750 0.431 0.170
S6 S 0.250 0.569 0.830
```

***

The following is a DFT calculation (GGA-PBE) of crystalline Li2NdHo2Sb2 at its relaxed geometry.

Cell and atoms, written as CIF:
```
data_Li2NdHo2Sb2
_chemical_formula_sum 'Li2 Nd1 Ho2 Sb2'
_cell_length_a 4.757
_cell_length_b 4.757
_cell_length_c 9.330
_cell_angle_alpha 75.23
_cell_angle_beta 75.23
_cell_angle_gamma 60.00
_space_group_name_H-M_alt 'P 1'
_space_group_IT_number 1
loop_
_space_group_symop_operation_xyz
'x,y,z'
loop_
_atom_site_label
_atom_site_type_symbol
_atom_site_fract_x
_atom_site_fract_y
_atom_site_fract_z
Li1 Li 0.589 0.589 0.232
Li2 Li 0.411 0.411 0.768
Nd1 Nd 0.000 0.000 0.000
Ho1 Ho 0.131 0.131 0.606
Ho2 Ho 0.869 0.869 0.394
Sb1 Sb 0.739 0.739 0.782
Sb2 Sb 0.261 0.261 0.218
```

***

The following is a DFT calculation (GGA-PBE) of crystalline LiNdHoSb at its relaxed geometry.

Cell and atoms, written as CIF:
```
data_LiNdHoSb
_chemical_formula_sum 'Li1 Nd1 Ho1 Sb1'
_cell_length_a 5.273
_cell_length_b 5.273
_cell_length_c 5.273
_cell_angle_alpha 60.00
_cell_angle_beta 60.00
_cell_angle_gamma 60.00
_space_group_name_H-M_alt 'P 1'
_space_group_IT_number 1
loop_
_space_group_symop_operation_xyz
'x,y,z'
loop_
_atom_site_label
_atom_site_type_symbol
_atom_site_fract_x
_atom_site_fract_y
_atom_site_fract_z
Sb1 Sb 0.500 0.500 0.500
Nd1 Nd 0.250 0.250 0.250
Ho1 Ho 0.750 0.750 0.750
Li1 Li 0.000 0.000 0.000
```

***

| no. | total magnetization (μB/f.u.) | total energy (eV for the cell shown) |
| --- | --- | --- |
| 1 | 0.00 | -20.28 |
| 2 | 0.00 | -21.38 |
| 3 | 0.00 | -85.36 |
| 4 | 0.00 | -47.74 |
| 5 | 0.00 | -107.92 |
| 6 | 0.00 | -66.34 |
| 7 | 0.00 | -73.62 |
| 8 | 0.00 | -69.21 |
| 9 | 0.01 | -29.94 |
| 10 | 0.00 | -17.21 |